Here is a geometry-optimized KZr2InCu structure from the Alexandria database. Energies are from PBEsol.

Computed properties:
VASP energy ... -4.20 eV/atom
Magnetic moment ... 0.003 μB/f.u.
Formation enthalpy at 0 K ... 1.1286 eV/atom

Unit cell a=5.444 b=5.444 c=4.839 alpha=90.00 beta=90.00 gamma=90.00
Sites, in units of the cell vectors:
K 0.000 0.000 0.000
Zr 0.000 0.500 0.500
Zr 0.500 0.000 0.500
In 0.500 0.500 0.500
Cu 0.500 0.500 0.000

Here is a geometry-optimized K4NpS2ClO10 structure from the Alexandria database. Energies are from PBEsol.

Computed properties:
ΔE_f (raw) ... -2.05 eV per atom
VASP energy ... -6.59 eV/atom
Magnetic moment ... 2.000 μB/f.u.

Unit cell a=10.084 b=4.465 c=15.560 alpha=90.00 beta=116.03 gamma=90.00
Sites, in units of the cell vectors:
K 0.068 0.229 0.131
K 0.068 0.771 0.631
K 0.334 0.231 0.892
K 0.334 0.769 0.392
K 0.666 0.231 0.608
K 0.666 0.769 0.108
K 0.932 0.229 0.369
K 0.932 0.771 0.869
Np 0.500 0.266 0.250
Np 0.500 0.734 0.750
S 0.298 0.347 0.569
S 0.298 0.653 0.069
S 0.702 0.347 0.931
S 0.702 0.653 0.431
Cl 0.000 0.265 0.750
Cl 0.000 0.735 0.250
O 0.150 0.253 0.554
O 0.150 0.747 0.054
O 0.313 0.320 0.083
O 0.313 0.680 0.583
O 0.332 0.259 0.490
O 0.332 0.741 0.990
O 0.347 0.267 0.285
O 0.347 0.733 0.785
O 0.415 0.230 0.663
O 0.415 0.770 0.163
O 0.585 0.230 0.837
O 0.585 0.770 0.337
O 0.653 0.267 0.215
O 0.653 0.733 0.715
O 0.668 0.259 0.010
O 0.668 0.741 0.510
O 0.687 0.320 0.417
O 0.687 0.680 0.917
O 0.850 0.253 0.946
O 0.850 0.747 0.446